[1]
The following is a DFT calculation (GGA-PBE) of BaThCl6 after structural relaxation.

Results
energy above the most stable polymorph in this dataset: 0 meV/atom
total DFT energy (no corrections): -4.85 eV/atom
size of the total moment: 0.000 μB/f.u.
formation energy from raw total energies: -2.30 eV/atom

a = 7.2383 Å, b = 7.2383 Å, c = 20.1669 Å
α = 90.00°, β = 90.00°, γ = 120.00°
Space group R-3 (No. 148, hexagonal axes)
Asymmetric unit:
Ba1 0.0000 0.0000 0.0000
Th1 0.0000 0.0000 0.5000
Cl1 0.0045 0.3061 0.4223

[2]
The following is a DFT calculation (GGA-PBE) of BaThCl6 after structural relaxation.

Results
energy above the most stable polymorph in this dataset: 13 meV/atom
total DFT energy (no corrections): -4.84 eV/atom
size of the total moment: 0.000 μB/f.u.
formation energy from raw total energies: -2.28 eV/atom

a = 7.451 Å, b = 11.960 Å, c = 7.226 Å
α = 90.00°, β = 103.82°, γ = 90.00°
Space group C2/m (No. 12)
Asymmetric unit:
Ba1 0.000 0.000 0.000
Th1 0.000 0.500 0.500
Cl1 0.204 0.348 0.737
Cl2 0.246 0.000 0.709

[3]
The following is a DFT calculation (GGA-PBE) of BaThTl2Cl8 after structural relaxation.

Results
total DFT energy (no corrections): -4.28 eV/atom
size of the total moment: 0.000 μB/f.u.
formation energy from raw total energies: -1.87 eV/atom

a = 4.975 Å, b = 10.142 Å, c = 7.736 Å
α = 90.00°, β = 90.17°, γ = 90.00°
Space group P2/m (No. 10)
Asymmetric unit:
Ba1 0.000 0.000 0.000
Th1 0.000 0.500 0.000
Tl1 0.500 0.243 0.500
Cl1 0.001 0.282 0.783
Cl2 0.499 0.000 0.754
Cl3 0.500 0.500 0.201

[4]
The following is a DFT calculation (GGA-PBE) of BaTiCl5 after structural relaxation.

Results
total DFT energy (no corrections): -4.66 eV/atom
size of the total moment: 1.000 μB/f.u.
formation energy from raw total energies: -1.93 eV/atom

a = 11.725 Å, b = 8.238 Å, c = 9.862 Å
α = 90.00°, β = 113.16°, γ = 90.00°
Space group C2/c (No. 15)
Asymmetric unit:
Ba1 0.000 0.054 0.250
Ti1 0.000 0.500 0.000
Cl1 0.000 0.438 0.250
Cl2 0.061 0.213 0.994
Cl3 0.209 0.422 0.611

[5]
The following is a DFT calculation (GGA-PBE) of Ba2TiCl after structural relaxation.

Results
energy above the most stable polymorph in this dataset: 0 meV/atom
total DFT energy (no corrections): -3.52 eV/atom
size of the total moment: 4.331 μB/f.u.
formation energy from raw total energies: -0.12 eV/atom

a = 8.913 Å, b = 8.913 Å, c = 8.881 Å
α = 90.00°, β = 90.00°, γ = 90.00°
Space group I-42d (No. 122)
Asymmetric unit:
Ba1 0.204 0.750 0.125
Ti1 0.000 0.000 0.500
Cl1 0.000 0.000 0.000

[6]
The following is a DFT calculation (GGA-PBE) of BaTiCl3 after structural relaxation.

Results
energy above the most stable polymorph in this dataset: 0 meV/atom
total DFT energy (no corrections): -4.58 eV/atom
size of the total moment: 2.810 μB/f.u.
formation energy from raw total energies: -1.51 eV/atom

a = 5.040 Å, b = 5.040 Å, c = 5.040 Å
α = 90.00°, β = 90.00°, γ = 90.00°
Space group Pm-3m (No. 221)
Asymmetric unit:
Ba1 0.000 0.000 0.000
Ti1 0.500 0.500 0.500
Cl1 0.000 0.500 0.500

[7]
The following is a DFT calculation (GGA-PBE) of BaTi3Cl12 after structural relaxation.

Results
total DFT energy (no corrections): -4.67 eV/atom
size of the total moment: 2.000 μB/f.u.
formation energy from raw total energies: -1.69 eV/atom

a = 12.6767 Å, b = 12.6767 Å, c = 8.2806 Å
α = 90.00°, β = 90.00°, γ = 120.00°
Space group P6_3/m (No. 176)
Asymmetric unit:
Ba1 0.3333 0.6667 0.2500
Ti1 0.0962 0.7070 0.7500
Cl1 0.0025 0.1918 0.2500
Cl2 0.0324 0.4970 0.2500
Cl3 0.2174 0.7598 0.5286

[8]
The following is a DFT calculation (GGA-PBE) of Ba2TiCl after structural relaxation.

Results
energy above the most stable polymorph in this dataset: 280 meV/atom
total DFT energy (no corrections): -3.24 eV/atom
size of the total moment: 0.485 μB/f.u.
formation energy from raw total energies: 0.16 eV/atom

a = 8.412 Å, b = 8.412 Å, c = 8.412 Å
α = 90.00°, β = 90.00°, γ = 90.00°
Space group Fm-3m (No. 225)
Asymmetric unit:
Ba1 0.250 0.250 0.250
Ti1 0.000 0.000 0.000
Cl1 0.000 0.000 0.500